First-principles (PBE-GGA) data for crystalline HfUMo at its relaxed geometry, as listed in OQMD.

Cell: 6.5073 6.5073 6.5073 Å, 90.00 90.00 90.00°
Space group F-43m (No. 216)
Inequivalent atoms, fractional coordinates:
Hf 0.0000 0.0000 0.0000 [4 per cell]
U 0.0000 0.0000 0.5000 [4 per cell]
Mo 0.2500 0.2500 0.2500 [4 per cell]

- volume (Å³/f.u.) = 69
- spin magnetization (μB/cell) = 7.30
- ΔE_f (eV per atom) = 0.581
- E (eV/atom) = -10.12
- offset from the most stable computed form (meV per atom) = 0